# 1
Computed, not measured: crystalline LaPmMgTc at its relaxed geometry at the GGA-PBE level of DFT.

Cell: 5.2106 5.2106 5.2106 Å, 60.00 60.00 60.00°
Fractional positions:
Pm1 0.2500 0.2500 0.2500
Tc1 0.5000 0.5000 0.5000
Mg1 0.0000 0.0000 0.0000
La1 0.7500 0.7500 0.7500

Output
ΔE_f	0.10	eV/atom
raw total energy	-21.24	eV for the cell shown
space group	F-43m, No. 216
volume	25.01	A^3/atom

=====

# 2
Computed, not measured: crystalline LaPmThMg at its relaxed geometry at the GGA-PBE level of DFT.

Cell: 5.6511 5.6511 5.6511 Å, 60.00 60.00 60.00°
Fractional positions:
Mg1 0.0000 0.0000 0.0000
Th1 0.2500 0.2500 0.2500
La1 0.7500 0.7500 0.7500
Pm1 0.5000 0.5000 0.5000

Output
ΔE_f	0.11	eV/atom
raw total energy	-18.24	eV for the cell shown
space group	F-43m, No. 216
volume	31.90	A^3/atom